Below is crystalline Pm2Nd5Mg at its relaxed geometry, with properties calculated at the GGA-PBE level.

Cell and atoms, written as POSCAR:
```
Pm2Nd5Mg
1.0
0.000 5.825 6.352
3.647 0.000 6.352
3.647 5.825 0.000
Pm Nd Mg
2 5 1
Cartesian
3.647 2.790 6.352
3.647 8.859 6.352
1.823 2.912 3.200
3.647 5.825 4.355
5.386 5.825 7.428
5.470 8.737 9.551
1.908 5.825 7.428
3.647 5.825 10.606
```

- Magnetic moment: 0.00 μB/f.u.
- Calculated formation energy: 0.005 eV per atom
- SG: Fmm2
- E: -4.362 eV/atom
- Relative energy among the computed polymorphs: 0.81 kJ per mole of atoms

=====

Below is crystalline AcSm8Ho3 at its relaxed geometry, with properties calculated at the GGA-PBE level.

Cell and atoms, written as POSCAR:
```
AcSm8Ho3
1.0
-3.255 5.824 5.826
3.255 -5.824 5.826
3.255 5.824 -5.826
Ac Sm Ho
1 8 3
Cartesian
0.000 0.000 0.000
3.255 -2.863 3.820
1.728 5.824 -2.651
1.527 0.000 3.175
0.000 2.961 2.005
3.255 2.863 3.820
1.728 5.824 2.651
1.527 0.000 8.477
0.000 8.686 2.005
3.255 3.229 0.000
0.000 5.824 0.000
0.000 2.594 5.826
```

- Magnetic moment: 0.00 μB/f.u.
- Calculated formation energy: 0.341 eV per atom
- SG: Immm
- E: -4.292 eV/atom

=====

Below is crystalline GdTm2Pb at its relaxed geometry, with properties calculated at the GGA-PBE level.

Cell and atoms, written as POSCAR:
```
GdTm2Pb
1.0
4.861 0.000 0.000
0.000 4.861 0.000
0.000 0.000 4.785
Gd Tm Pb
1 2 1
Cartesian
0.000 0.000 0.000
0.000 2.430 2.392
2.430 0.000 2.392
2.430 2.430 0.000
```

- Magnetic moment: 7.80 μB/f.u.
- Calculated formation energy: -0.274 eV per atom
- SG: P4/mmm
- E: -6.957 eV/atom
- Relative energy among the computed polymorphs: 0.00 kJ per mole of atoms